Crystalline Sr3PrMn2O8 at its relaxed geometry. Source: Alexandria, functional PBE with a Hubbard U.

Lattice parameters (Å, degrees): 5.545 6.793 6.793 48.08 90.00 90.00
Element x y z (fractional)
Sr  0.000  0.000  0.000
Sr  0.000  0.286  0.286
Sr  0.500  0.497  0.497
Pr  0.500  0.779  0.779
Mn  0.000  0.640  0.640
Mn  0.500  0.141  0.141
O  0.000  0.484  0.484
O  0.000  0.802  0.802
O  0.257  0.398  0.893
O  0.257  0.893  0.398
O  0.500  0.301  0.301
O  0.500  0.973  0.973
O  0.743  0.398  0.893
O  0.743  0.893  0.398

The value obtained for the total moment is 7.00 μB per formula unit. As for the crystal system: orthorhombic. The space-group type is Amm2, No. 38. The calculation puts the final energy at -98.996 eV/f.u.